# 1
! CsBa2SrRh PBE-GGA relaxed; values from VASP
! - total moment (μB/f.u.) = 0.0
! - D(E_F) (states/eV/cell) = 5.7
! - formation enthalpy at 0 K (meV per atom) = -43
&SYSTEM
  ibrav = 0, nat = 5, ntyp = 4
/
ATOMIC_SPECIES
Cs 132.91 Cs.upf
Ba 137.33 Ba.upf
Sr 87.62 Sr.upf
Rh 102.91 Rh.upf
CELL_PARAMETERS angstrom
6.3361 0.0000 0.0000
0.0000 6.3361 0.0000
0.0000 0.0000 6.2095
ATOMIC_POSITIONS crystal
Cs 0.0000 0.0000 0.0000
Ba 0.0000 0.5000 0.5000
Ba 0.5000 0.0000 0.5000
Sr 0.5000 0.5000 0.0000
Rh 0.5000 0.5000 0.5000

---

# 2
! CsBa3Ru PBE-GGA relaxed; values from VASP
! - total moment (μB/f.u.) = 1.6
! - D(E_F) (states/eV/cell) = 14.9
! - formation enthalpy at 0 K (meV per atom) = 1573
&SYSTEM
  ibrav = 0, nat = 5, ntyp = 3
/
ATOMIC_SPECIES
Cs 132.91 Cs.upf
Ba 137.33 Ba.upf
Ru 101.07 Ru.upf
CELL_PARAMETERS angstrom
6.3555 0.0000 0.0000
0.0000 6.3555 0.0000
0.0000 0.0000 6.3555
ATOMIC_POSITIONS crystal
Cs 0.0000 0.0000 0.0000
Ba 0.0000 0.0000 0.5000
Ba 0.0000 0.5000 0.0000
Ba 0.5000 0.0000 0.0000
Ru 0.5000 0.5000 0.5000

---

# 3
! CsBa2Ru PBE-GGA relaxed; values from VASP
! - total moment (μB/f.u.) = 0.0
! - D(E_F) (states/eV/cell) = 4.1
! - formation enthalpy at 0 K (meV per atom) = 722
&SYSTEM
  ibrav = 0, nat = 4, ntyp = 3
/
ATOMIC_SPECIES
Cs 132.91 Cs.upf
Ba 137.33 Ba.upf
Ru 101.07 Ru.upf
CELL_PARAMETERS angstrom
0.0000 4.1609 4.1609
4.1609 0.0000 4.1609
4.1609 4.1609 0.0000
ATOMIC_POSITIONS crystal
Cs 0.0000 0.0000 0.0000
Ba 0.2500 0.2500 0.2500
Ba 0.7500 0.7500 0.7500
Ru 0.5000 0.5000 0.5000

---

# 4
! CsBa3Ru PBE-GGA relaxed; values from VASP
! - total moment (μB/f.u.) = 0.0
! - D(E_F) (states/eV/cell) = 8.5
! - formation enthalpy at 0 K (meV per atom) = 305
&SYSTEM
  ibrav = 0, nat = 5, ntyp = 3
/
ATOMIC_SPECIES
Cs 132.91 Cs.upf
Ba 137.33 Ba.upf
Ru 101.07 Ru.upf
CELL_PARAMETERS angstrom
6.2938 0.0000 0.0000
0.0000 6.2938 0.0000
0.0000 0.0000 6.2938
ATOMIC_POSITIONS crystal
Cs 0.0000 0.0000 0.0000
Ba 0.0000 0.5000 0.5000
Ba 0.5000 0.0000 0.5000
Ba 0.5000 0.5000 0.0000
Ru 0.5000 0.5000 0.5000